No. 1
DFT (GGA-PBEsol) results for SrIr3 after structural relaxation.

Properties
- energy of formation (meV per atom) = 389
- space-group type = Cmmm

Cell: 5.003 5.003 2.785 Å, 90.00 90.00 109.44°
Sites, in units of the cell vectors:
Sr1 0.000 0.000 0.000
Ir1 0.000 0.500 0.500
Ir2 0.500 0.000 0.500
Ir3 0.500 0.500 0.000



No. 2
DFT (GGA-PBEsol) results for SrIr4 after structural relaxation.

Properties
- energy of formation (meV per atom) = 2424
- space-group type = Im-3m

Cell: 5.063 5.063 5.063 Å, 109.47 109.47 109.47°
Sites, in units of the cell vectors:
Sr1 0.000 0.000 0.000
Ir1 0.000 0.000 0.500
Ir2 0.000 0.500 0.000
Ir3 0.500 0.000 0.000
Ir4 0.500 0.500 0.500



> The highest energy of formation belongs to which entry?

SrIr4



> Which value of energy of formation does entry 2 give?

2424 meV per atom